The following is a DFT calculation (PBE with a Hubbard U) of Nd2HfVO6 after structural relaxation.

The structure in POSCAR format:
```
Nd2HfVO6
1.0
5.612 0.000 0.000
0.000 5.884 0.000
-5.490 0.000 8.086
Nd Hf V O
4 2 2 12
Cartesian
-0.071 0.351 2.003 Nd
-2.816 2.591 6.046 Nd
2.938 3.293 2.041 Nd
0.193 5.533 6.084 Nd
2.806 0.000 0.000 Hf
0.061 2.942 4.043 Hf
-2.745 0.000 4.043 V
0.000 2.942 0.000 V
-4.369 1.130 7.641 O
-1.624 1.812 3.598 O
-3.758 4.161 7.575 O
-1.013 4.665 3.532 O
-2.067 0.271 6.110 O
0.678 2.671 2.067 O
-0.556 3.213 6.019 O
2.189 5.613 1.976 O
1.135 1.219 4.555 O
3.880 1.723 0.512 O
1.746 4.072 4.488 O
4.492 4.754 0.445 O
```

Properties
- Final energy: -0.646 Ry per atom
- Theoretical density: 7.635 g/cm³